Below is a relaxed K2SrRh crystal, with properties calculated at the PBE-GGA level.

The structure in POSCAR format:
```
K2SrRh
1.0
1.679 -5.321 -1.439
-1.933 -2.415 -4.861
3.579 -0.789 -4.446
Sr K Rh
1 2 1
Direct
0.000 0.000 0.000
0.250 0.250 0.250
0.750 0.750 0.750
0.500 0.500 0.500
```

## Properties
For the total DFT energy (no corrections), the calculation gives -8.77 eV per cell. The value obtained for the volume is 33.8 Å³/atom. As for the formation energy: 615 meV per atom. The density of states at the Fermi level comes out at 4.7 states/eV/f.u.